Entry 1:
A geometry-optimized CaBeBr3 structure. Source: Alexandria via LeMat-Bulk, functional PBE.

Crystal system: cubic
Excess energy over the best structure of this formula in the dataset, meV/atom: 271

Cell: 5.634 5.634 5.634 Å, 90.00 90.00 90.00°
Space group Pm-3m (No. 221)
Unique sites:
Ca 0.000 0.000 0.000 x1
Be 0.500 0.500 0.500 x1
Br 0.000 0.000 0.500 x3

Entry 2:
A geometry-optimized CaBeIBr2 structure. Source: Alexandria via LeMat-Bulk, functional PBE.

Crystal system: tetragonal

Cell: 5.356 5.356 12.145 Å, 90.00 90.00 90.00°
Space group P4/mmm (No. 123)
Unique sites:
Ca 0.000 0.000 0.000 x1
Be 0.000 0.000 0.500 x1
I 0.500 0.500 0.500 x1
Br 0.000 0.500 0.000 x2

Entry 3:
A geometry-optimized KCaBeBr5 structure. Source: Alexandria via LeMat-Bulk, functional PBE.

Crystal system: monoclinic

Cell: 9.385 12.216 10.222 Å, 90.00 114.58 90.00°
Space group C2/c (No. 15)
Unique sites:
K 0.000 0.147 0.250 x4
Ca 0.000 0.500 0.000 x4
Be 0.000 0.186 0.750 x4
Br 0.000 0.407 0.250 x4
Br 0.116 0.286 0.642 x8
Br 0.170 0.079 0.920 x8

Entry 4:
A geometry-optimized CaBeMoBr2 structure. Source: Alexandria via LeMat-Bulk, functional PBE.

Crystal system: tetragonal

Cell: 4.728 4.728 6.517 Å, 90.00 90.00 90.00°
Space group P4/mmm (No. 123)
Unique sites:
Ca 0.000 0.000 0.000 x1
Be 0.000 0.000 0.500 x1
Mo 0.500 0.500 0.000 x1
Br 0.000 0.500 0.500 x2

Entry 5:
A geometry-optimized CaBe2PbBr structure. Source: Alexandria via LeMat-Bulk, functional PBE.

Crystal system: tetragonal

Cell: 4.514 4.514 7.174 Å, 90.00 90.00 90.00°
Space group P4/mmm (No. 123)
Unique sites:
Ca 0.000 0.000 0.000 x1
Be 0.000 0.500 0.500 x2
Pb 0.500 0.500 0.500 x1
Br 0.500 0.500 0.000 x1

Entry 6:
A geometry-optimized Rb2CaBeBr6 structure. Source: Alexandria via LeMat-Bulk, functional PBE.

Crystal system: tetragonal

Cell: 7.593 7.593 10.773 Å, 90.00 90.00 90.00°
Space group I4/mmm (No. 139)
Unique sites:
Rb 0.000 0.500 0.250 x4
Ca 0.000 0.000 0.000 x2
Be 0.000 0.000 0.500 x2
Br 0.000 0.000 0.267 x4
Br 0.232 0.232 0.500 x8

Entry 7:
A geometry-optimized RbCaBeBr5 structure. Source: Alexandria via LeMat-Bulk, functional PBE.

Crystal system: monoclinic

Cell: 9.521 12.480 10.248 Å, 90.00 114.95 90.00°
Space group C2/c (No. 15)
Unique sites:
Rb 0.000 0.148 0.250 x4
Ca 0.000 0.500 0.000 x4
Be 0.000 0.188 0.750 x4
Br 0.000 0.413 0.250 x4
Br 0.108 0.286 0.637 x8
Br 0.174 0.084 0.918 x8

Entry 8:
A geometry-optimized SrCa2BeBr structure. Source: Alexandria via LeMat-Bulk, functional PBE.

Crystal system: tetragonal

Cell: 7.193 7.193 5.687 Å, 90.00 90.00 90.00°
Space group P4/mmm (No. 123)
Unique sites:
Sr 0.000 0.000 0.000 x1
Ca 0.000 0.500 0.000 x2
Be 0.500 0.500 0.500 x1
Br 0.000 0.000 0.500 x1

Entry 9:
A geometry-optimized CaBeTe2Br structure. Source: Alexandria via LeMat-Bulk, functional PBE.

Crystal system: tetragonal

Cell: 5.790 5.790 5.377 Å, 90.00 90.00 90.00°
Space group P4/mmm (No. 123)
Unique sites:
Ca 0.000 0.000 0.000 x1
Be 0.500 0.500 0.000 x1
Te 0.000 0.500 0.500 x2
Br 0.000 0.000 0.500 x1

Entry 10:
A geometry-optimized Ca2BeTeBr structure. Source: Alexandria via LeMat-Bulk, functional PBE.

Crystal system: tetragonal

Cell: 5.505 5.505 5.859 Å, 90.00 90.00 90.00°
Space group P4/mmm (No. 123)
Unique sites:
Ca 0.000 0.500 0.000 x2
Be 0.000 0.000 0.500 x1
Te 0.500 0.500 0.500 x1
Br 0.500 0.500 0.000 x1

Entry 11:
A geometry-optimized CaTiBeBr2 structure. Source: Alexandria via LeMat-Bulk, functional PBE.

Crystal system: tetragonal

Cell: 5.353 5.353 7.263 Å, 90.00 90.00 90.00°
Space group P4/mmm (No. 123)
Unique sites:
Ca 0.000 0.000 0.000 x1
Ti 0.000 0.000 0.500 x1
Be 0.500 0.500 0.500 x1
Br 0.000 0.500 0.000 x2

Entry 12:
A geometry-optimized CaBeZnBr2 structure. Source: Alexandria via LeMat-Bulk, functional PBE.

Crystal system: tetragonal

Cell: 5.696 5.696 4.296 Å, 90.00 90.00 90.00°
Space group P4/mmm (No. 123)
Unique sites:
Ca 0.000 0.000 0.000 x1
Be 0.500 0.500 0.000 x1
Zn 0.500 0.500 0.500 x1
Br 0.000 0.500 0.500 x2

| no. | M_tot (μB per formula unit) | V (Å³/atom) | ΔE_f (raw) (eV/atom) |
| --- | --- | --- | --- |
| 1 | 1.036 | 35.76 | -0.522 |
| 2 | 0.513 | 69.69 | -0.268 |
| 3 | 0.000 | 33.31 | -1.565 |
| 4 | 4.782 | 29.13 | 0.813 |
| 5 | 0.000 | 29.24 | 0.409 |
| 6 | 0.000 | 31.05 | -1.483 |
| 7 | 0.000 | 34.50 | -1.568 |
| 8 | 0.000 | 58.84 | 0.683 |
| 9 | 0.000 | 36.05 | 0.532 |
| 10 | 0.000 | 35.51 | 0.216 |
| 11 | 2.912 | 41.62 | 0.514 |
| 12 | 0.000 | 27.88 | -0.162 |